# 1
Computed, not measured: a relaxed structure of KInHg11 at the PBE level of DFT.

abc: 6.4265 8.4201 8.1525
angles: 81.82 66.79 68.84
Last column: nearest neighbours and their distance in Å.
Sites, in units of the cell vectors:
1 Hg 0.2878 0.2171 0.2195  7 Hg 3.15-3.47, 1 In 3.15
2 Hg 0.4927 0.7829 0.2195  7 Hg 3.15-3.47, 1 In 3.15
3 Hg 0.0000 0.0000 0.5000  10 Hg 3.15-3.40
4 Hg 0.5073 0.2171 0.7805  7 Hg 3.15-3.47, 1 In 3.15
5 Hg 0.5000 0.0000 0.5000  10 Hg 3.15-3.40
6 Hg 0.6483 0.3503 0.3535  8 Hg 3.22-3.58, 1 In 3.33
7 Hg 0.7123 0.7829 0.7805  7 Hg 3.15-3.47, 1 In 3.15
8 Hg 0.0000 0.5000 0.0000  2 In 3.21, 8 Hg 3.24-3.30
9 Hg 0.9981 0.6497 0.3535  8 Hg 3.22-3.58, 1 In 3.33
10 Hg 0.0019 0.3503 0.6465  8 Hg 3.22-3.58, 1 In 3.33
11 Hg 0.3517 0.6497 0.6465  8 Hg 3.22-3.58, 1 In 3.33
12 In 0.5000 0.5000 0.0000  10 Hg 3.15-3.33
13 K 0.0000 0.0000 0.0000  18 Hg 3.82-4.21, 2 In 4.28

## Properties
Energy relative to the elements: -61 meV per atom
Raw total energy: -0.61 eV/atom

# 2
Computed, not measured: a relaxed structure of ZnCu2Te at the PBE level of DFT.

abc: 4.6037 4.6037 4.6037
angles: 60.00 60.00 60.00
Last column: nearest neighbours and their distance in Å.
Sites, in units of the cell vectors:
1 Cu 0.7500 0.7500 0.7500  4 Te 2.82, 4 Zn 2.82
2 Cu 0.2500 0.2500 0.2500  4 Te 2.82, 4 Zn 2.82
3 Zn 0.0000 0.0000 0.0000  8 Cu 2.82
4 Te 0.5000 0.5000 0.5000  8 Cu 2.82

## Properties
Distance to the lowest polymorph of the same formula: 16.9 kJ per mole of atoms
Raw total energy: -2.89 eV/atom
Uncorrected formation energy: 260 meV per atom

# 3
Computed, not measured: a relaxed structure of Tb4SnSb2Se at the PBE level of DFT.

abc: 4.3208 7.5192 7.5309
angles: 70.71 90.00 90.00
Last column: nearest neighbours and their distance in Å.
Sites, in units of the cell vectors:
1 Tb 0.0000 0.7459 0.7474  1 Se 3.03, 2 Sn 3.06, 3 Sb 3.07-3.11
2 Tb 0.0000 0.2541 0.2526  1 Se 3.03, 2 Sn 3.06, 3 Sb 3.07-3.11
3 Tb 0.5000 0.7447 0.2523  2 Se 3.04, 1 Sn 3.05, 3 Sb 3.09
4 Tb 0.5000 0.2553 0.7477  2 Se 3.04, 1 Sn 3.05, 3 Sb 3.09
5 Se 0.0000 0.5000 0.5000  6 Tb 3.03-3.04
6 Sn 0.5000 0.5000 0.0000  6 Tb 3.05-3.06
7 Sb 0.5000 0.0000 0.5000  6 Tb 3.07-3.09
8 Sb 0.0000 0.0000 0.0000  6 Tb 3.09-3.11

## Properties
Raw total energy: -5.47 eV/atom
Uncorrected formation energy: -1192 meV per atom

# 4
Computed, not measured: a relaxed structure of Ag2Sb2Rh at the PBE level of DFT.

abc: 6.7975 6.7975 4.6672
angles: 90.00 90.00 90.00
Last column: nearest neighbours and their distance in Å.
Sites, in units of the cell vectors:
1 Ag 0.8314 0.3314 0.5000  6 Sb 2.91-3.19, 1 Ag 3.24
2 Ag 0.6686 0.8314 0.5000  6 Sb 2.91-3.19, 1 Ag 3.24
3 Ag 0.1686 0.6686 0.5000  6 Sb 2.91-3.19, 1 Ag 3.24
4 Ag 0.3314 0.1686 0.5000  6 Sb 2.91-3.19, 1 Ag 3.24
5 Rh 0.0000 0.0000 0.0000  4 Sb 2.59
6 Rh 0.5000 0.5000 0.0000  4 Sb 2.59
7 Sb 0.3499 0.8499 0.0000  2 Rh 2.59, 1 Sb 2.89
8 Sb 0.8499 0.6501 0.0000  2 Rh 2.59, 1 Sb 2.89
9 Sb 0.1501 0.3499 0.0000  2 Rh 2.59, 1 Sb 2.89
10 Sb 0.6501 0.1501 0.0000  2 Rh 2.59, 1 Sb 2.89

## Properties
Raw total energy: -4.20 eV/atom
Uncorrected formation energy: 60 meV per atom

# 5
Computed, not measured: a relaxed structure of MgTaIr2 at the PBE level of DFT.

abc: 7.1114 7.1114 5.7829
angles: 52.06 52.06 90.00
Last column: nearest neighbours and their distance in Å.
Sites, in units of the cell vectors:
1 Ir 0.3750 0.3498 0.7500  2 Ta 2.50, 2 Mg 2.74
2 Ir 0.0998 0.6250 0.2500  2 Ta 2.50, 2 Mg 2.74
3 Ir 0.6502 0.1250 0.2500  2 Ta 2.50, 2 Mg 2.74
4 Ir 0.8750 0.9002 0.7500  2 Ta 2.50, 2 Mg 2.74
5 Mg 0.5000 0.5000 0.0000  4 Ir 2.74, 2 Ta 2.86
6 Mg 0.2500 0.7500 0.5000  4 Ir 2.74, 2 Ta 2.86
7 Ta 0.0000 0.0000 0.0000  4 Ir 2.50
8 Ta 0.7500 0.2500 0.5000  4 Ir 2.50

## Properties
Energy relative to the elements: 53 meV per atom
Distance to the lowest polymorph of the same formula: 63.5 kJ per mole of atoms
Raw total energy: -7.74 eV/atom

# 6
Computed, not measured: a relaxed structure of KBO2F at the PBE level of DFT.

abc: 3.2173 3.2173 5.2688
angles: 90.00 90.00 90.00
Last column: nearest neighbours and their distance in Å.
Sites, in units of the cell vectors:
1 O 0.0000 0.5000 0.0000  2 B 1.61
2 O 0.5000 0.0000 0.0000  2 B 1.61
3 F 0.0000 0.0000 0.5000  4 K 2.27
4 B 0.0000 0.0000 0.0000  4 O 1.61
5 K 0.5000 0.5000 0.5000  4 F 2.27

## Properties
Raw total energy: -5.17 eV/atom
Uncorrected formation energy: -1254 meV per atom